Mg3W (PBEsol, optimized geometry); magnetic moment = 0.0 Bohr magnetons per cell; space group = No. 65; final energy = -4.3023 eV per atom; formation energy from the elements = 42.2 kJ/mol of atoms; excess energy over the best structure of this formula in the dataset = 0.0000 eV/atom
1.0
-1.826 -1.570 1.466
-0.508 -3.293 -4.161
3.876 -1.321 3.413
Mg W
3 1
direct
0.500 0.500 0.000
0.000 0.500 0.500
0.500 0.000 0.500
0.000 0.000 0.000